Below is a relaxed RbIn6Sb2 crystal, with properties calculated at the PBE level.

The calculation puts the calculated volume at 288.1 Å³ per cell. The total moment is 0.000 Bohr magnetons per cell. The value obtained for the density of states at the Fermi level is 0.4101 states/eV per atom. Its uncorrected formation energy is -0.076 eV per atom.

The structure belongs to space group P4/mmm (No. 123); the cell edges are 5.160, 5.160 and 10.819 Å and the angles 90.00°, 90.00° and 90.00°. Symmetry generates all atoms from Rb at (0.000, 0.000, 0.000), In at (0.000, 0.000, 0.500), In at (0.000, 0.500, 0.311), In at (0.500, 0.500, 0.500) and Sb at (0.500, 0.500, 0.142).